DFT (PBE) results for a relaxed structure of CeDyMgCd.

POSCAR file:
```
CeDyMgCd
1.0
-4.0289 1.9211 2.9862
-4.2779 -3.0765 1.0365
-0.8064 -1.8947 4.9598
Dy Cd Mg Ce
1 1 1 1
Direct
0.5000 0.5000 0.5000 Dy
0.7500 0.7500 0.7500 Cd
0.2500 0.2500 0.2500 Mg
0.0000 0.0000 0.0000 Ce
```

raw total energy	-3.3578	eV per atom
total moment	0.35	μB/atom
crystal system	cubic
E_form	-96	meV per atom